Sb2W: optimized geometry, PBE.

Summary:
The spin magnetization is 0.00 μB per atom. The calculation puts the density of states at the Fermi level at 8.77 states/eV per cell. The calculation puts the formation energy without anion corrections at 1.33 eV per atom. As for the total energy: -5.7357 eV per atom.

Unit cell a=5.585 b=5.585 c=11.346 alpha=90.00 beta=90.00 gamma=120.00
Element x y z (fractional)
Sb1 0.000 0.000 0.000
Sb2 0.000 0.000 0.500
Sb3 0.834 0.668 0.250
Sb4 0.166 0.332 0.750
Sb5 0.332 0.166 0.250
Sb6 0.834 0.166 0.250
Sb7 0.166 0.834 0.750
Sb8 0.668 0.834 0.750
W1 0.333 0.667 0.955
W2 0.667 0.333 0.455
W3 0.667 0.333 0.045
W4 0.333 0.667 0.545